Entry 1:
# PBE SiSn2Hg2, relaxed
data_SiSn2Hg2
_chemical_formula_sum 'Si2 Sn4 Hg4'
_symmetry_space_group_name_H-M 'P 1'
_symmetry_Int_Tables_number 1
_cell_length_a 7.274
_cell_length_b 7.274
_cell_length_c 4.999
_cell_angle_alpha 90.00
_cell_angle_beta 90.00
_cell_angle_gamma 90.00
loop_
_symmetry_equiv_pos_as_xyz
'x,y,z'
loop_
_atom_site_label
_atom_site_type_symbol
_atom_site_fract_x
_atom_site_fract_y
_atom_site_fract_z
Si1 Si 0.000 0.000 0.000
Si2 Si 0.500 0.500 0.000
Sn1 Sn 0.149 0.351 0.000
Sn2 Sn 0.351 0.851 0.000
Sn3 Sn 0.649 0.149 0.000
Sn4 Sn 0.851 0.649 0.000
Hg1 Hg 0.169 0.669 0.500
Hg2 Hg 0.331 0.169 0.500
Hg3 Hg 0.669 0.831 0.500
Hg4 Hg 0.831 0.331 0.500
# Raw formation energy, meV/atom: 280.4
# Space group: P4/mbm (127)
# Calculated total energy, eV per atom: -2.53
# Volume, Å³ per atom: 26.45
# Size of the total moment, μB per cell: 0.00

---

Entry 2:
# PBE Si3SnHg, relaxed
data_Si3SnHg
_chemical_formula_sum 'Si3 Sn1 Hg1'
_symmetry_space_group_name_H-M 'P 1'
_symmetry_Int_Tables_number 1
_cell_length_a 5.059
_cell_length_b 5.059
_cell_length_c 5.059
_cell_angle_alpha 90.00
_cell_angle_beta 90.00
_cell_angle_gamma 90.00
loop_
_symmetry_equiv_pos_as_xyz
'x,y,z'
loop_
_atom_site_label
_atom_site_type_symbol
_atom_site_fract_x
_atom_site_fract_y
_atom_site_fract_z
Si1 Si 0.000 0.000 0.500
Si2 Si 0.000 0.500 0.000
Si3 Si 0.500 0.000 0.000
Sn1 Sn 0.500 0.500 0.500
Hg1 Hg 0.000 0.000 0.000
# Raw formation energy, meV/atom: 1184.2
# Space group: Pm-3m (221)
# Calculated total energy, eV per atom: -2.93
# Volume, Å³ per atom: 25.89
# Size of the total moment, μB per cell: 0.00

---

Entry 3:
# PBE SiSnHg2, relaxed
data_SiSnHg2
_chemical_formula_sum 'Si2 Sn2 Hg4'
_symmetry_space_group_name_H-M 'P 1'
_symmetry_Int_Tables_number 1
_cell_length_a 6.413
_cell_length_b 6.413
_cell_length_c 6.413
_cell_angle_alpha 102.42
_cell_angle_beta 102.42
_cell_angle_gamma 124.75
loop_
_symmetry_equiv_pos_as_xyz
'x,y,z'
loop_
_atom_site_label
_atom_site_type_symbol
_atom_site_fract_x
_atom_site_fract_y
_atom_site_fract_z
Si1 Si 0.000 0.000 0.000
Si2 Si 0.750 0.250 0.500
Sn1 Sn 0.250 0.750 0.500
Sn2 Sn 0.500 0.500 0.000
Hg1 Hg 0.087 0.625 0.962
Hg2 Hg 0.375 0.337 0.462
Hg3 Hg 0.663 0.125 0.038
Hg4 Hg 0.875 0.913 0.538
# Raw formation energy, meV/atom: 313.6
# Space group: I-42d (122)
# Calculated total energy, eV per atom: -2.19
# Volume, Å³ per atom: 24.00
# Size of the total moment, μB per cell: 0.00

---

Entry 4:
# PBE Si5Sn12Hg3, relaxed
data_Si5Sn12Hg3
_chemical_formula_sum 'Si20 Sn48 Hg12'
_symmetry_space_group_name_H-M 'P 1'
_symmetry_Int_Tables_number 1
_cell_length_a 14.344
_cell_length_b 14.344
_cell_length_c 14.344
_cell_angle_alpha 109.47
_cell_angle_beta 109.47
_cell_angle_gamma 109.47
loop_
_symmetry_equiv_pos_as_xyz
'x,y,z'
loop_
_atom_site_label
_atom_site_type_symbol
_atom_site_fract_x
_atom_site_fract_y
_atom_site_fract_z
Si1 Si 0.000 0.000 0.000
Si2 Si 0.000 0.000 0.500
Si3 Si 0.000 0.500 0.000
Si4 Si 0.000 0.500 0.500
Si5 Si 0.125 0.750 0.875
Si6 Si 0.125 0.875 0.250
Si7 Si 0.250 0.125 0.875
Si8 Si 0.250 0.625 0.375
Si9 Si 0.375 0.250 0.625
Si10 Si 0.375 0.625 0.750
Si11 Si 0.500 0.000 0.000
Si12 Si 0.500 0.000 0.500
Si13 Si 0.500 0.500 0.000
Si14 Si 0.500 0.500 0.500
Si15 Si 0.625 0.375 0.250
Si16 Si 0.625 0.750 0.375
Si17 Si 0.750 0.375 0.625
Si18 Si 0.750 0.875 0.125
Si19 Si 0.875 0.125 0.750
Si20 Si 0.875 0.250 0.125
Sn1 Sn 0.050 0.226 0.125
Sn2 Sn 0.050 0.324 0.925
Sn3 Sn 0.075 0.625 0.399
Sn4 Sn 0.075 0.950 0.676
Sn5 Sn 0.101 0.726 0.676
Sn6 Sn 0.101 0.875 0.425
Sn7 Sn 0.125 0.050 0.226
Sn8 Sn 0.125 0.575 0.899
Sn9 Sn 0.176 0.226 0.601
Sn10 Sn 0.176 0.450 0.575
Sn11 Sn 0.226 0.125 0.050
Sn12 Sn 0.226 0.601 0.176
Sn13 Sn 0.274 0.324 0.899
Sn14 Sn 0.274 0.450 0.375
Sn15 Sn 0.324 0.899 0.274
Sn16 Sn 0.324 0.925 0.050
Sn17 Sn 0.375 0.274 0.450
Sn18 Sn 0.375 0.601 0.925
Sn19 Sn 0.399 0.075 0.625
Sn20 Sn 0.399 0.824 0.774
Sn21 Sn 0.425 0.101 0.875
Sn22 Sn 0.425 0.824 0.550
Sn23 Sn 0.450 0.375 0.274
Sn24 Sn 0.450 0.575 0.176
Sn25 Sn 0.550 0.425 0.824
Sn26 Sn 0.550 0.625 0.726
Sn27 Sn 0.575 0.176 0.450
Sn28 Sn 0.575 0.899 0.125
Sn29 Sn 0.601 0.176 0.226
Sn30 Sn 0.601 0.925 0.375
Sn31 Sn 0.625 0.399 0.075
Sn32 Sn 0.625 0.726 0.550
Sn33 Sn 0.676 0.075 0.950
Sn34 Sn 0.676 0.101 0.726
Sn35 Sn 0.726 0.550 0.625
Sn36 Sn 0.726 0.676 0.101
Sn37 Sn 0.774 0.399 0.824
Sn38 Sn 0.774 0.875 0.950
Sn39 Sn 0.824 0.550 0.425
Sn40 Sn 0.824 0.774 0.399
Sn41 Sn 0.875 0.425 0.101
Sn42 Sn 0.875 0.950 0.774
Sn43 Sn 0.899 0.125 0.575
Sn44 Sn 0.899 0.274 0.324
Sn45 Sn 0.925 0.050 0.324
Sn46 Sn 0.925 0.375 0.601
Sn47 Sn 0.950 0.676 0.075
Sn48 Sn 0.950 0.774 0.875
Hg1 Hg 0.125 0.250 0.375
Hg2 Hg 0.125 0.375 0.750
Hg3 Hg 0.250 0.375 0.125
Hg4 Hg 0.250 0.875 0.625
Hg5 Hg 0.375 0.125 0.250
Hg6 Hg 0.375 0.750 0.125
Hg7 Hg 0.625 0.250 0.875
Hg8 Hg 0.625 0.875 0.750
Hg9 Hg 0.750 0.125 0.375
Hg10 Hg 0.750 0.625 0.875
Hg11 Hg 0.875 0.625 0.250
Hg12 Hg 0.875 0.750 0.625
# Raw formation energy, meV/atom: 291.6
# Space group: Ia-3d (230)
# Calculated total energy, eV per atom: -3.51
# Volume, Å³ per atom: 28.40
# Size of the total moment, μB per cell: 0.00

---

Entry 5:
# PBE SiSn3Hg, relaxed
data_SiSn3Hg
_chemical_formula_sum 'Si1 Sn3 Hg1'
_symmetry_space_group_name_H-M 'P 1'
_symmetry_Int_Tables_number 1
_cell_length_a 5.502
_cell_length_b 5.502
_cell_length_c 5.502
_cell_angle_alpha 90.00
_cell_angle_beta 90.00
_cell_angle_gamma 90.00
loop_
_symmetry_equiv_pos_as_xyz
'x,y,z'
loop_
_atom_site_label
_atom_site_type_symbol
_atom_site_fract_x
_atom_site_fract_y
_atom_site_fract_z
Si1 Si 0.000 0.000 0.000
Sn1 Sn 0.000 0.500 0.500
Sn2 Sn 0.500 0.000 0.500
Sn3 Sn 0.500 0.500 0.000
Hg1 Hg 0.500 0.500 0.500
# Raw formation energy, meV/atom: 935.9
# Space group: Pm-3m (221)
# Calculated total energy, eV per atom: -2.61
# Volume, Å³ per atom: 33.31
# Size of the total moment, μB per cell: 0.00

---

Entry 6:
# PBE SiSnHg3, relaxed
data_SiSnHg3
_chemical_formula_sum 'Si1 Sn1 Hg3'
_symmetry_space_group_name_H-M 'P 1'
_symmetry_Int_Tables_number 1
_cell_length_a 5.597
_cell_length_b 5.597
_cell_length_c 5.597
_cell_angle_alpha 90.00
_cell_angle_beta 90.00
_cell_angle_gamma 90.00
loop_
_symmetry_equiv_pos_as_xyz
'x,y,z'
loop_
_atom_site_label
_atom_site_type_symbol
_atom_site_fract_x
_atom_site_fract_y
_atom_site_fract_z
Si1 Si 0.000 0.000 0.000
Sn1 Sn 0.500 0.500 0.500
Hg1 Hg 0.000 0.500 0.500
Hg2 Hg 0.500 0.000 0.500
Hg3 Hg 0.500 0.500 0.000
# Raw formation energy, meV/atom: 796.8
# Space group: Pm-3m (221)
# Calculated total energy, eV per atom: -1.27
# Volume, Å³ per atom: 35.07
# Size of the total moment, μB per cell: 1.87

---

Entry 7:
# PBE Sr2SiHg, relaxed
data_Sr2SiHg
_chemical_formula_sum 'Sr2 Si1 Hg1'
_symmetry_space_group_name_H-M 'P 1'
_symmetry_Int_Tables_number 1
_cell_length_a 5.492
_cell_length_b 5.492
_cell_length_c 5.492
_cell_angle_alpha 60.00
_cell_angle_beta 60.00
_cell_angle_gamma 60.00
loop_
_symmetry_equiv_pos_as_xyz
'x,y,z'
loop_
_atom_site_label
_atom_site_type_symbol
_atom_site_fract_x
_atom_site_fract_y
_atom_site_fract_z
Sr1 Sr 0.000 0.000 0.000
Sr2 Sr 0.250 0.250 0.250
Si1 Si 0.500 0.500 0.500
Hg1 Hg 0.750 0.750 0.750
# Raw formation energy, meV/atom: 30.3
# Space group: F-43m (216)
# Calculated total energy, eV per atom: -2.24
# Volume, Å³ per atom: 29.28
# Size of the total moment, μB per cell: 0.00

---

Entry 8:
# PBE SrSiHg3, relaxed
data_SrSiHg3
_chemical_formula_sum 'Sr1 Si1 Hg3'
_symmetry_space_group_name_H-M 'P 1'
_symmetry_Int_Tables_number 1
_cell_length_a 6.268
_cell_length_b 6.268
_cell_length_c 6.268
_cell_angle_alpha 90.00
_cell_angle_beta 90.00
_cell_angle_gamma 90.00
loop_
_symmetry_equiv_pos_as_xyz
'x,y,z'
loop_
_atom_site_label
_atom_site_type_symbol
_atom_site_fract_x
_atom_site_fract_y
_atom_site_fract_z
Sr1 Sr 0.000 0.000 0.000
Si1 Si 0.500 0.500 0.500
Hg1 Hg 0.000 0.000 0.500
Hg2 Hg 0.000 0.500 0.000
Hg3 Hg 0.500 0.000 0.000
# Raw formation energy, meV/atom: 798.4
# Space group: Pm-3m (221)
# Calculated total energy, eV per atom: -0.80
# Volume, Å³ per atom: 49.26
# Size of the total moment, μB per cell: 2.72